First-principles (PBE+U) data for crystalline NiSeO2 at its relaxed geometry, as listed in Alexandria via LeMat-Bulk.

a b c (Å): 3.510 5.132 6.456
angles (deg): 89.22 85.98 88.18
Fractional coordinates of all 8 atoms:
Ni1 0.000 0.000 0.000
Ni2 0.234 0.520 0.191
Se1 0.019 0.475 0.704
Se2 0.578 0.988 0.313
O1 0.213 0.664 0.903
O2 0.238 0.182 0.764
O3 0.309 0.565 0.489
O4 0.753 0.294 0.159

Computed properties:
- Crystal system: triclinic
- DFT total energy: -36.1 eV per cell
- Total magnetic moment: 0.250 μB/atom